! LaBePt, optimized geometry, DFT PBE; values from VASP
! **Energy above the lowest structure with this stoichiometry**: 0.0 meV per atom
! **Raw total energy**: -5.219 eV/atom
&SYSTEM
  ibrav = 0, nat = 3, ntyp = 3
/
ATOMIC_SPECIES
La 138.91 La.upf
Be 9.01 Be.upf
Pt 195.08 Pt.upf
ATOMIC_POSITIONS crystal
La 0.000 0.000 0.000
Be 0.500 0.500 0.500
Pt 0.750 0.750 0.750
CELL_PARAMETERS angstrom
0.000 3.294 3.294
3.294 0.000 3.294
3.294 3.294 0.000

***

! LaBe2Pt2, optimized geometry, DFT PBE; values from VASP
! **Raw total energy**: -5.719 eV/atom
&SYSTEM
  ibrav = 0, nat = 5, ntyp = 3
/
ATOMIC_SPECIES
La 138.91 La.upf
Be 9.01 Be.upf
Pt 195.08 Pt.upf
ATOMIC_POSITIONS crystal
La 0.000 0.000 0.000
Be 0.250 0.750 0.500
Be 0.750 0.250 0.500
Pt 0.362 0.362 0.000
Pt 0.638 0.638 0.000
CELL_PARAMETERS angstrom
-2.021 2.021 5.168
2.021 -2.021 5.168
2.021 2.021 -5.168

***

! LaScBePt, optimized geometry, DFT PBE; values from VASP
! **Energy above the lowest structure with this stoichiometry**: 0.0 meV per atom
! **Raw total energy**: -5.662 eV/atom
&SYSTEM
  ibrav = 0, nat = 4, ntyp = 4
/
ATOMIC_SPECIES
La 138.91 La.upf
Sc 44.96 Sc.upf
Be 9.01 Be.upf
Pt 195.08 Pt.upf
ATOMIC_POSITIONS crystal
La 0.000 0.000 0.000
Sc 0.500 0.500 0.500
Be 0.750 0.750 0.750
Pt 0.250 0.250 0.250
CELL_PARAMETERS angstrom
0.000 3.476 3.476
3.476 0.000 3.476
3.476 3.476 0.000

***

! LaScBePt, optimized geometry, DFT PBE; values from VASP
! **Energy above the lowest structure with this stoichiometry**: 48.0 meV per atom
! **Raw total energy**: -5.614 eV/atom
&SYSTEM
  ibrav = 0, nat = 4, ntyp = 4
/
ATOMIC_SPECIES
La 138.91 La.upf
Sc 44.96 Sc.upf
Be 9.01 Be.upf
Pt 195.08 Pt.upf
ATOMIC_POSITIONS crystal
La 0.000 0.000 0.000
Sc 0.750 0.750 0.750
Be 0.250 0.250 0.250
Pt 0.500 0.500 0.500
CELL_PARAMETERS angstrom
0.000 3.328 3.328
3.328 0.000 3.328
3.328 3.328 0.000

***

! LaScBePt, optimized geometry, DFT PBE; values from VASP
! **Energy above the lowest structure with this stoichiometry**: 97.5 meV per atom
! **Raw total energy**: -5.565 eV/atom
&SYSTEM
  ibrav = 0, nat = 4, ntyp = 4
/
ATOMIC_SPECIES
La 138.91 La.upf
Sc 44.96 Sc.upf
Be 9.01 Be.upf
Pt 195.08 Pt.upf
ATOMIC_POSITIONS crystal
La 0.000 0.000 0.000
Sc 0.250 0.250 0.250
Be 0.500 0.500 0.500
Pt 0.750 0.750 0.750
CELL_PARAMETERS angstrom
0.000 3.352 3.352
3.352 0.000 3.352
3.352 3.352 0.000

***

! LaBeTlPt, optimized geometry, DFT PBE; values from VASP
! **Energy above the lowest structure with this stoichiometry**: 97.0 meV per atom
! **Raw total energy**: -4.378 eV/atom
&SYSTEM
  ibrav = 0, nat = 4, ntyp = 4
/
ATOMIC_SPECIES
La 138.91 La.upf
Be 9.01 Be.upf
Tl 204.38 Tl.upf
Pt 195.08 Pt.upf
ATOMIC_POSITIONS crystal
La 0.000 0.000 0.000
Be 0.500 0.500 0.500
Tl 0.250 0.250 0.250
Pt 0.750 0.750 0.750
CELL_PARAMETERS angstrom
0.000 3.517 3.517
3.517 0.000 3.517
3.517 3.517 0.000

***

! LaBeTlPt, optimized geometry, DFT PBE; values from VASP
! **Energy above the lowest structure with this stoichiometry**: 0.0 meV per atom
! **Raw total energy**: -4.475 eV/atom
&SYSTEM
  ibrav = 0, nat = 4, ntyp = 4
/
ATOMIC_SPECIES
La 138.91 La.upf
Be 9.01 Be.upf
Tl 204.38 Tl.upf
Pt 195.08 Pt.upf
ATOMIC_POSITIONS crystal
La 0.000 0.000 0.000
Be 0.750 0.750 0.750
Tl 0.500 0.500 0.500
Pt 0.250 0.250 0.250
CELL_PARAMETERS angstrom
0.000 3.480 3.480
3.480 0.000 3.480
3.480 3.480 0.000

***

! LaYBePt, optimized geometry, DFT PBE; values from VASP
! **Energy above the lowest structure with this stoichiometry**: 0.0 meV per atom
! **Raw total energy**: -5.736 eV/atom
&SYSTEM
  ibrav = 0, nat = 4, ntyp = 4
/
ATOMIC_SPECIES
La 138.91 La.upf
Y 88.91 Y.upf
Be 9.01 Be.upf
Pt 195.08 Pt.upf
ATOMIC_POSITIONS crystal
La 0.000 0.000 0.000
Y 0.500 0.500 0.500
Be 0.750 0.750 0.750
Pt 0.250 0.250 0.250
CELL_PARAMETERS angstrom
0.000 3.567 3.567
3.567 0.000 3.567
3.567 3.567 0.000